No. 1
A relaxed structure of HoAgGe. Source: the Alexandria database, functional PBE.

Values from the calculation:
Energy relative to the elements = -0.6467 eV/atom
Crystal system = hexagonal
DFT total energy = -4.662 eV/atom

Unit cell a=7.1407 b=7.1407 c=4.2119 alpha=90.00 beta=90.00 gamma=120.00
Last column: nearest neighbours and their distance in Å.
Space group P-62m (No. 189)
Symmetry-distinct sites (fractional):
Ho: 0.0000 0.4168 0.0000 (multiplicity 3)  5 Ge 2.98-3.01, 2 Ag 3.17
Ag: 0.0000 0.7490 0.5000 (multiplicity 3)  4 Ge 2.72-2.77
Ge: 0.0000 0.0000 0.0000 (multiplicity 1)  6 Ag 2.77, 3 Ho 2.98
Ge: 0.3333 0.6667 0.5000 (multiplicity 2)  3 Ag 2.72, 6 Ho 3.01

No. 2
A relaxed structure of CeSm6Dy5. Source: the Alexandria database, functional PBE.

Values from the calculation:
Energy relative to the elements = 0.0371 eV/atom
Crystal system = orthorhombic
DFT total energy = -4.734 eV/atom

Unit cell a=5.0739 b=10.1341 c=15.2094 alpha=90.00 beta=90.00 gamma=90.00
Last column: nearest neighbours and their distance in Å.
Space group Immm (No. 71)
Symmetry-distinct sites (fractional):
Ce: 0.0000 0.0000 0.0000 (multiplicity 2)  8 Sm 3.56-3.57, 4 Dy 3.58
Sm: 0.0000 0.2495 0.1652 (multiplicity 8)  1 Ce 3.56, 4 Sm 3.57-3.62, 7 Dy 3.57-3.61
Sm: 0.0000 0.2515 0.5000 (multiplicity 4)  6 Dy 3.56-3.60, 4 Sm 3.57, 2 Ce 3.57
Dy: 0.0000 0.0000 0.3325 (multiplicity 4)  4 Dy 3.59-3.60, 8 Sm 3.59-3.60
Dy: 0.0000 0.5000 0.0000 (multiplicity 2)  8 Sm 3.57-3.60, 4 Dy 3.60
Dy: 0.0000 0.5000 0.3342 (multiplicity 4)  8 Sm 3.56-3.61, 2 Ce 3.58, 2 Dy 3.59

No. 3
A relaxed structure of Sr2Hg2Au. Source: the Alexandria database, functional PBE.

Values from the calculation:
Relative energy among the computed polymorphs = 119 kJ/mol of formula units
Energy relative to the elements = -0.3288 eV/atom
Crystal system = tetragonal
DFT total energy = -1.778 eV/atom

Unit cell a=6.3329 b=6.3329 c=8.3140 alpha=90.00 beta=90.00 gamma=90.00
Last column: nearest neighbours and their distance in Å.
Space group I4/mmm (No. 139)
Symmetry-distinct sites (fractional):
Sr: 0.0000 0.5000 0.2500 (multiplicity 4)  4 Hg 3.25
Hg: 0.0000 0.0000 0.1644 (multiplicity 4)  1 Hg 2.73, 1 Au 2.79
Au: 0.0000 0.0000 0.5000 (multiplicity 2)  2 Hg 2.79

No. 4
A relaxed structure of Rb3DyPa3Se8. Source: the Alexandria database, functional PBE.

Values from the calculation:
Crystal system = trigonal
Raw formation energy = -1.44 eV per atom
DFT total energy = -5.694 eV/atom

Unit cell a=8.3314 b=8.3314 c=24.7687 alpha=90.00 beta=90.00 gamma=120.00
Last column: nearest neighbours and their distance in Å.
Space group R-3m (No. 166, hexagonal axes)
Symmetry-distinct sites (fractional):
Rb: 0.0000 0.5000 0.0000 (multiplicity 9)  6 Se 3.44-3.48
Dy: 0.0000 0.0000 0.5000 (multiplicity 3)  6 Se 2.90
Pa: 0.0000 0.5000 0.5000 (multiplicity 9)  6 Se 2.90-2.92
Se: 0.0000 0.0000 0.2339 (multiplicity 6)  3 Pa 2.92
Se: 0.9996 0.4998 0.2320 (multiplicity 18)  2 Pa 2.90, 1 Dy 2.90

Number 1: theoretical density 9.25 Mg/m³, V 20.7 Å³ per atom. Number 2: theoretical density 7.88 Mg/m³, V 32.6 Å³ per atom. Number 3: theoretical density 7.70 Mg/m³, V 33.3 Å³ per atom. Number 4: theoretical density 5.83 Mg/m³, V 33.1 Å³ per atom.